1.
Compound: V3TcMo4
Source: Alexandria
Functional: PBE
Structure: relaxed

Cell lengths 6.9101, 6.9101, 6.9101 Å; angles 143.37, 142.83, 53.18 degrees
With the nearest neighbours (Å) after each atom.
Fractional positions:
V: 0.0000 0.0000 0.0000  4 Mo 2.66, 4 V 2.67
V: 0.3778 0.8778 0.5000  2 Tc 2.65, 2 V 2.67, 4 Mo 2.69-2.70
V: 0.6222 0.1222 0.5000  2 Tc 2.65, 2 V 2.67, 4 Mo 2.69-2.70
Tc: 0.5000 0.5000 0.0000  4 V 2.65, 4 Mo 2.69
Mo: 0.1243 0.6243 0.5000  2 V 2.66, 4 Mo 2.66-2.70, 2 Tc 2.69
Mo: 0.2487 0.2487 0.0000  4 Mo 2.66-2.70, 4 V 2.69-2.70
Mo: 0.7513 0.7513 0.0000  4 Mo 2.66-2.70, 4 V 2.69-2.70
Mo: 0.8757 0.3757 0.5000  2 V 2.66, 4 Mo 2.66-2.70, 2 Tc 2.69

Results
Relative energy among the computed polymorphs ... 0 meV/atom
Raw total energy ... -10.28 eV per atom
Space-group type ... Immm (71)
Formation enthalpy at 0 K ... -0.153 eV/atom

2.
Compound: ZrSO
Source: Alexandria
Functional: PBE
Structure: relaxed

Cell lengths 6.0379, 3.5157, 6.8317 Å; angles 90.00, 111.23, 90.00 degrees
With the nearest neighbours (Å) after each atom.
Fractional positions:
Zr: 0.2375 0.2500 0.0071  3 O 2.10-2.18
Zr: 0.7625 0.7500 0.9929  3 O 2.10-2.18
S: 0.3249 0.7500 0.7579  3 Zr 2.55-2.63
S: 0.6751 0.2500 0.2421  3 Zr 2.55-2.63
O: 0.1489 0.7500 0.1308  3 Zr 2.10-2.18
O: 0.8511 0.2500 0.8692  3 Zr 2.10-2.18

Results
Raw formation energy ... -2.33 eV/atom
Relative energy among the computed polymorphs ... 117 meV/atom
Raw total energy ... -8.21 eV per atom
Space-group type ... P2_1/m (11)

3.
Compound: NiGeAsSe2
Source: Alexandria
Functional: PBE
Structure: relaxed

Cell lengths 5.1841, 5.1841, 4.3135 Å; angles 90.00, 90.00, 90.00 degrees
With the nearest neighbours (Å) after each atom.
Fractional positions:
Ni: 0.0000 0.0000 0.0000  2 As 2.16
Ge: 0.5000 0.5000 0.0000  8 Se 3.37, 4 Ni 3.67
As: 0.0000 0.0000 0.5000  2 Ni 2.16
Se: 0.0000 0.5000 0.5000  2 As 2.59
Se: 0.5000 0.0000 0.5000  2 As 2.59

Results
Raw formation energy ... 0.51 eV/atom
Relative energy among the computed polymorphs ... 176 meV/atom
Raw total energy ... -3.90 eV per atom
Space-group type ... P4/mmm (123)

4.
Compound: Fe2AgW
Source: Alexandria
Functional: PBE
Structure: relaxed

Cell lengths 8.9410, 8.9410, 8.9410 Å; angles 17.79, 17.79, 17.79 degrees
With the nearest neighbours (Å) after each atom.
Fractional positions:
Fe: 0.0000 0.0000 0.0000  3 Fe 2.44
Fe: 0.2636 0.2636 0.2636  3 Fe 2.44, 3 W 2.66
Ag: 0.7538 0.7538 0.7538  6 Ag 2.77, 3 Fe 2.80, 3 W 2.99
W: 0.5162 0.5162 0.5162  3 Fe 2.66, 6 W 2.77

Results
Relative energy among the computed polymorphs ... 104 meV/atom
Raw total energy ... -7.78 eV per atom
Space-group type ... R3m (160)
Formation enthalpy at 0 K ... 0.404 eV/atom

5.
Compound: Ac3Pr3Tl2Rh
Source: Alexandria
Functional: PBE
Structure: relaxed

Cell lengths 9.2122, 9.2122, 4.0364 Å; angles 90.00, 90.00, 120.00 degrees
With the nearest neighbours (Å) after each atom.
Fractional positions:
Ac: 0.0000 0.7568 0.0000  2 Rh 3.02
Ac: 0.2432 0.2432 0.0000  2 Rh 3.02
Ac: 0.7568 0.0000 0.0000  2 Rh 3.02
Pr: 0.0000 0.4040 0.5000  4 Tl 3.45, 1 Rh 3.72, 6 Ac 3.82-3.83
Pr: 0.4040 0.0000 0.5000  4 Tl 3.45, 1 Rh 3.72, 6 Ac 3.82-3.83
Pr: 0.5960 0.5960 0.5000  4 Tl 3.45, 1 Rh 3.72, 6 Ac 3.82-3.83
Tl: 0.3333 0.6667 0.0000  6 Pr 3.45, 3 Ac 3.56
Tl: 0.6667 0.3333 0.0000  6 Pr 3.45, 3 Ac 3.56
Rh: 0.0000 0.0000 0.5000  6 Ac 3.02

Results
Raw total energy ... -4.66 eV per atom
Space-group type ... P-62m (189)
Formation enthalpy at 0 K ... -0.350 eV/atom

6.
Compound: TbNdAlPd
Source: Alexandria
Functional: PBE
Structure: relaxed

Cell lengths 5.1591, 5.1591, 5.1591 Å; angles 60.00, 60.00, 60.00 degrees
With the nearest neighbours (Å) after each atom.
Fractional positions:
Tb: 0.0000 0.0000 0.0000  4 Al 3.16, 4 Pd 3.16
Nd: 0.5000 0.5000 0.5000  4 Al 3.16, 4 Pd 3.16
Al: 0.2500 0.2500 0.2500  4 Tb 3.16, 4 Nd 3.16
Pd: 0.7500 0.7500 0.7500  4 Nd 3.16, 4 Tb 3.16

Results
Relative energy among the computed polymorphs ... 66 meV/atom
Raw total energy ... -5.09 eV per atom
Space-group type ... F-43m (216)
Formation enthalpy at 0 K ... -0.507 eV/atom

7.
Compound: CsAsPb2Br8
Source: Alexandria
Functional: PBE
Structure: relaxed

Cell lengths 7.5385, 7.5450, 8.5251 Å; angles 74.37, 88.59, 87.91 degrees
With the nearest neighbours (Å) after each atom.
Fractional positions:
Cs: 0.0000 0.0000 0.0000  8 Br 3.78-4.13
As: 0.0000 0.5000 0.5000  6 Br 2.68
Pb: 0.4517 0.4891 0.2603  5 Br 2.88-3.22
Pb: 0.5483 0.5109 0.7397  5 Br 2.88-3.22
Br: 0.0682 0.4224 0.2150  1 As 2.68
Br: 0.2408 0.7635 0.4169  1 As 2.68
Br: 0.2625 0.2616 0.6322  1 As 2.68
Br: 0.4499 0.7669 0.9525  2 Pb 2.88-3.05
Br: 0.5501 0.2331 0.0475  2 Pb 2.88-3.05
Br: 0.7375 0.7384 0.3678  1 As 2.68
Br: 0.7592 0.2365 0.5831  1 As 2.68
Br: 0.9318 0.5776 0.7850  1 As 2.68

Results
Raw formation energy ... -0.91 eV/atom
Raw total energy ... -3.10 eV per atom
Space-group type ... P-1 (2)

8.
Compound: Pr7CdIn4
Source: Alexandria
Functional: PBE
Structure: relaxed

Cell lengths 8.0323, 8.0323, 9.7221 Å; angles 116.47, 116.47, 43.89 degrees
With the nearest neighbours (Å) after each atom.
Fractional positions:
Pr: 0.0000 0.0000 0.0000  2 Cd 3.00, 2 In 3.11
Pr: 0.2518 0.2518 0.7184  4 In 3.12-3.31, 1 Pr 3.33, 1 Cd 3.38
Pr: 0.3132 0.3132 0.1238  1 Cd 3.52, 3 In 3.53-3.71, 6 Pr 3.56-3.74
Pr: 0.4227 0.4227 0.5897  5 In 3.24-3.57, 3 Pr 3.33-3.56, 1 Cd 3.58
Pr: 0.5773 0.5773 0.4103  5 In 3.24-3.57, 3 Pr 3.33-3.56, 1 Cd 3.58
Pr: 0.6868 0.6868 0.8762  1 Cd 3.52, 3 In 3.53-3.71, 6 Pr 3.56-3.74
Pr: 0.7482 0.7482 0.2816  4 In 3.12-3.31, 1 Pr 3.33, 1 Cd 3.38
Cd: 0.5000 0.5000 0.0000  2 Pr 3.00
In: 0.0319 0.0319 0.6802  2 In 3.06-3.16, 4 Pr 3.12-3.36
In: 0.1800 0.1800 0.3417  1 In 3.06, 5 Pr 3.11-3.31
In: 0.8200 0.8200 0.6583  1 In 3.06, 5 Pr 3.11-3.31
In: 0.9681 0.9681 0.3198  2 In 3.06-3.16, 4 Pr 3.12-3.36

Results
Raw total energy ... -4.00 eV per atom
Space-group type ... C2/m (12)
Formation enthalpy at 0 K ... -0.220 eV/atom